{
  "formula": "SiSbTe2Rh",
  "functional": "PBE-GGA",
  "state": "optimized geometry",
  "magmom_total_mub_per_fu": 0.00,
  "density_kg_m3": 6001,
  "e_tot_ev_per_cell": -20.16,
  "raw_formation_energy_ev_per_atom": 0.60,
  "relative_energy_kj_per_mol_fu": 0,
  "lattice": [[5.3390, 0.0000, 0.0000], [0.0000, 5.3390, 0.0000], [0.0000, 0.0000, 4.9309]],
  "species": ["Si", "Sb", "Te", "Te", "Rh"],
  "fractional_positions": [[0.0000, 0.0000, 0.0000], [0.5000, 0.5000, 0.0000], [0.0000, 0.5000, 0.5000], [0.5000, 0.0000, 0.5000], [0.5000, 0.5000, 0.5000]]
}